Record 1
Below is a geometry-optimized Y2InSbIr structure, with properties calculated at the PBE-GGA level.

abc: 5.593 5.593 5.206
angles: 90.00 90.00 90.00
Positions (direct):
Y1 0.000 0.500 0.000
Y2 0.500 0.000 0.000
In1 0.000 0.000 0.500
Sb1 0.000 0.000 0.000
Ir1 0.500 0.500 0.500

N(E_F) = 5.1 states/eV per cell
energy relative to the elements, uncorrected = 0.774 eV per atom
space group = P4/mmm (123)



Record 2
Below is a geometry-optimized La3Sm3Y structure, with properties calculated at the PBE-GGA level.

abc: 8.930 8.930 8.930
angles: 59.73 59.73 59.73
Positions (direct):
La1 0.060 0.812 0.301
La2 0.188 0.699 0.940
La3 0.301 0.060 0.812
La4 0.699 0.940 0.188
La5 0.812 0.301 0.060
La6 0.940 0.188 0.699
Sm1 0.064 0.569 0.725
Sm2 0.275 0.936 0.431
Sm3 0.431 0.275 0.936
Sm4 0.569 0.725 0.064
Sm5 0.725 0.064 0.569
Sm6 0.936 0.431 0.275
Y1 0.351 0.351 0.351
Y2 0.649 0.649 0.649

N(E_F) = 22.3 states/eV per cell
formation enthalpy at 0 K = 1.60 eV per formula unit
energy above the lowest structure with this stoichiometry = 198 meV per atom
space group = R-3 (148)



Record 3
Below is a geometry-optimized LaTiTeN2 structure, with properties calculated at the PBE-GGA level.

abc: 4.278 4.278 6.565
angles: 90.00 90.00 90.00
Positions (direct):
La1 0.000 0.000 0.000
Ti1 0.500 0.500 0.500
Te1 0.000 0.000 0.500
N1 0.000 0.500 0.000
N2 0.500 0.000 0.000

N(E_F) = 5.2 states/eV per cell
energy relative to the elements, uncorrected = 0.675 eV per atom
energy above the lowest structure with this stoichiometry = 1050 meV per atom
space group = P4/mmm (123)



The highest N(E_F) belongs to which entry?
La3Sm3Y